No. 1
A plane-wave DFT calculation with PBE-GGA was carried out for a relaxed PmSm3In2 crystal.

Output
- Crystal system: orthorhombic

Cell and atoms, written as CIF:
```
data_PmSm3In2
_chemical_formula_sum 'Pm2 Sm6 In4'
_symmetry_space_group_name_H-M 'C m m m'
_symmetry_Int_Tables_number 65
_symmetry_space_group_name_Hall '-C 2 2'
_cell_length_a 4.9827
_cell_length_b 15.5151
_cell_length_c 4.6148
_cell_angle_alpha 90.00
_cell_angle_beta 90.00
_cell_angle_gamma 90.00
loop_
_atom_site_label
_atom_site_fract_x
_atom_site_fract_y
_atom_site_fract_z
_atom_site_occupancy
Pm1 0.0000 0.0000 0.0000 1
Sm1 0.0000 0.1732 0.5000 1
Sm2 0.0000 0.5000 0.5000 1
In1 0.0000 0.3414 0.0000 1
```



No. 2
A plane-wave DFT calculation with PBE-GGA was carried out for a relaxed PmSm4In5 crystal.

Output
- Crystal system: tetragonal

Cell and atoms, written as CIF:
```
data_PmSm4In5
_chemical_formula_sum 'Pm1 Sm4 In5'
_symmetry_space_group_name_H-M 'P 4/m m m'
_symmetry_Int_Tables_number 123
_symmetry_space_group_name_Hall '-P 4 2'
_cell_length_a 3.8404
_cell_length_b 3.8404
_cell_length_c 19.1107
_cell_angle_alpha 90.00
_cell_angle_beta 90.00
_cell_angle_gamma 90.00
loop_
_atom_site_label
_atom_site_fract_x
_atom_site_fract_y
_atom_site_fract_z
_atom_site_occupancy
Pm1 0.0000 0.0000 0.0000 1
Sm1 0.0000 0.0000 0.2008 1
Sm2 0.0000 0.0000 0.4003 1
In1 0.5000 0.5000 0.1012 1
In2 0.5000 0.5000 0.3005 1
In3 0.5000 0.5000 0.5000 1
```



No. 3
A plane-wave DFT calculation with PBE-GGA was carried out for a relaxed Pm4Sm3In2 crystal.

Output
- Crystal system: monoclinic

Cell and atoms, written as CIF:
```
data_Pm4Sm3In2
_chemical_formula_sum 'Pm8 Sm6 In4'
_symmetry_space_group_name_H-M 'C 1 2/m 1'
_symmetry_Int_Tables_number 12
_cell_length_a 11.2269
_cell_length_b 4.8560
_cell_length_c 10.6446
_cell_angle_alpha 90.00
_cell_angle_beta 108.81
_cell_angle_gamma 90.00
loop_
_symmetry_equiv_pos_as_xyz
'x,y,z'
'-x,-y,-z'
'-x,y,-z'
'x,-y,z'
'x+1/2,y+1/2,z'
'-x+1/2,-y+1/2,-z'
'-x+1/2,y+1/2,-z'
'x+1/2,-y+1/2,z'
loop_
_atom_site_label
_atom_site_fract_x
_atom_site_fract_y
_atom_site_fract_z
_atom_site_occupancy
Pm1 0.0079 0.0000 0.1746 1
Pm2 0.1703 0.5000 0.3895 1
Sm1 0.0000 0.0000 0.5000 1
Sm2 0.1724 0.5000 0.0540 1
In1 0.1619 0.5000 0.7180 1
```



E, respectively: -26.17, -42.24, -40.55 eV/f.u..
ΔH_f (0 K), respectively: -0.30, -0.49, -0.21 eV/atom.